This record from Alexandria via LeMat-Bulk describes a geometry-optimized BTePd2Pt structure. The functional is PBE.

```
data_BTePd2Pt
_chemical_formula_sum 'B1 Te1 Pd2 Pt1'
_space_group_name_H-M_alt 'P 4/m m m'
_space_group_IT_number 123
_space_group_name_Hall '-P 4 2'
_cell_length_a 4.3511
_cell_length_b 4.3511
_cell_length_c 4.2389
_cell_angle_alpha 90.00
_cell_angle_beta 90.00
_cell_angle_gamma 90.00
loop_
_atom_site_label
_atom_site_fract_x
_atom_site_fract_y
_atom_site_fract_z
B1 0.0000 0.0000 0.0000
Te1 0.5000 0.5000 0.5000
Pd1 0.0000 0.5000 0.0000
Pt1 0.0000 0.0000 0.5000
```

Output
- Formation energy without anion corrections: -0.10 eV per atom
- ΔE to the lowest computed polymorph: 0.0000 eV per atom